w.
The following is a PBE calculation of a relaxed structure of CsLaIN2, from Alexandria.

Structure (extended XYZ):
```
5
Lattice="-4.4148 1.6487 -0.2172 -1.3256 -3.1170 3.2838 1.3562 4.2333 4.5658" Properties=species:S:1:pos:R:3 pbc="T T T"
N -2.2074 0.8243 -0.1086
N -0.6628 -1.5585 1.6419
I 0.6781 2.1166 2.2829
Cs 0.0000 0.0000 0.0000
La -2.1921 1.3825 3.8161
```

=====

x.
The following is a PBE calculation of a relaxed structure of CsLaIN2, from Alexandria.

Structure (extended XYZ):
```
5
Lattice="-2.5064 -4.0521 1.2643 4.1377 -2.0046 1.7780 -1.2922 2.6806 6.0294" Properties=species:S:1:pos:R:3 pbc="T T T"
Cs 0.1696 -1.6880 4.5359
N 2.0689 -1.0023 0.8890
N -1.2532 -2.0261 0.6322
La 0.0000 0.0000 0.0000
I -0.6461 1.3403 3.0147
```

=====

In meV/atom, relative to the most stable structure: w 1312; x 0.

=====

w.
The following is a PBE calculation of a relaxed structure of CsLaI2O, from Alexandria.

Structure (extended XYZ):
```
5
Lattice="6.7877 0.0000 0.0000 0.0000 6.7877 0.0000 0.0000 0.0000 4.3926" Properties=species:S:1:pos:R:3 pbc="T T T"
I 3.3938 0.0000 0.0000
I 0.0000 3.3938 0.0000
O 0.0000 0.0000 2.1963
Cs 0.0000 0.0000 0.0000
La 3.3938 3.3938 2.1963
```

=====

x.
The following is a PBE calculation of a relaxed structure of CsLaI2O, from Alexandria.

Structure (extended XYZ):
```
5
Lattice="6.7603 0.0000 0.0000 0.0000 6.7603 0.0000 0.0000 0.0000 4.4009" Properties=species:S:1:pos:R:3 pbc="T T T"
Cs 3.3801 3.3801 2.2005
O 0.0000 0.0000 2.2005
I 0.0000 3.3801 0.0000
I 3.3801 0.0000 0.0000
La 0.0000 0.0000 0.0000
```

=====

In meV/atom, relative to the most stable structure: w 1657; x 0.

=====

w.
The following is a PBE calculation of a relaxed structure of Cs2LaPdI6, from Alexandria.

Structure (extended XYZ):
```
10
Lattice="7.0750 0.0000 0.0000 0.0000 8.5865 0.0000 0.0000 -4.2933 7.4362" Properties=species:S:1:pos:R:3 pbc="T T T"
I 5.4371 2.1140 6.1780
I 1.6379 4.2933 4.9198
I 5.4371 -2.1141 6.1780
I 1.6379 6.4073 1.2582
I 1.6379 2.1792 1.2582
I 5.4371 0.0000 2.5163
Cs 1.7673 0.0000 4.9574
Cs 5.3076 4.2933 2.4787
Pd 0.0000 0.0000 0.0000
La 3.5375 0.0000 0.0000
```

=====

x.
The following is a PBE calculation of a relaxed structure of Cs2LaPdI6, from Alexandria.

Structure (extended XYZ):
```
10
Lattice="8.6628 0.0000 0.0000 0.0000 8.6628 0.0000 4.3314 4.3314 6.0372" Properties=species:S:1:pos:R:3 pbc="T T T"
I 8.6628 8.6628 3.1571
I 6.4313 6.4313 0.0000
I 4.3314 4.3314 2.8801
I 6.4313 2.2315 0.0000
I 2.2315 2.2315 0.0000
I 2.2315 6.4313 0.0000
La 0.0000 0.0000 0.0000
Cs 4.3314 8.6628 3.0186
Cs 8.6628 4.3314 3.0186
Pd 4.3314 4.3314 0.0000
```

=====

In meV/atom, relative to the most stable structure: w 0; x 36.

=====

w.
The following is a PBE calculation of a relaxed structure of Cs2RbLaI6, from Alexandria.

Structure (extended XYZ):
```
20
Lattice="-8.0227 4.1121 0.0283 -0.0403 -0.0126 -9.5745 -6.1028 -11.3524 0.0406" Properties=species:S:1:pos:R:3 pbc="T T T"
Cs -8.8784 -6.3841 -5.4808
Cs -1.8296 -2.7683 -8.8241
Cs -5.2874 -0.8689 -4.0247
Cs -12.3362 -4.4847 -0.6814
Rb -3.0715 -5.6825 -4.7669
Rb -4.0114 2.0560 0.0142
La -7.0627 -3.6202 0.0345
La -0.0201 -0.0063 -4.7872
I -8.8531 -3.6303 -2.6115
I -5.3127 -3.6226 -6.8940
I -2.6259 0.5702 -6.5203
I -9.6941 -3.0517 -7.7866
I -5.6365 -8.2432 -4.3780
I -7.5863 -6.7473 -9.1590
I -6.5795 -0.5057 -0.3465
I -12.3776 -7.2435 -7.3792
I -8.5293 0.9903 -5.1275
I -1.7882 -0.0095 -2.1263
I -4.4716 -4.2012 -1.7189
I -11.5399 -7.8231 -2.9852
```

=====

x.
The following is a PBE calculation of a relaxed structure of Cs2RbLaI6, from Alexandria.

Structure (extended XYZ):
```
10
Lattice="9.4009 0.0000 0.0000 0.0000 9.4009 0.0000 4.7005 4.7005 6.6473" Properties=species:S:1:pos:R:3 pbc="T T T"
I 2.2286 2.2286 0.0000
I 9.4009 9.4009 3.1518
I 7.1723 7.1723 0.0000
I 4.7005 4.7005 3.4955
I 7.1723 2.2286 0.0000
I 2.2286 7.1723 0.0000
Rb 4.7005 4.7005 0.0000
La 0.0000 0.0000 0.0000
Cs 9.4009 4.7005 3.3236
Cs 4.7005 9.4009 3.3236
```

=====

In meV/atom, relative to the most stable structure: w 0; x 46.